*1*
An optimized crystal structure of BiBrOF2. Source: Alexandria via LeMat-Bulk, functional PBE-GGA.

Its volume is 18.776 Å³/atom. As for the space group: P4/mmm. As for the density of states at the Fermi level: 3.14 states/eV/f.u.

Cell: 4.520 4.520 4.595 Å, 90.00 90.00 90.00°
Site moments in Bohr magnetons follow the coordinates.
Atoms (fractional coordinates):
F: 0.500 0.000 0.000  0.02
F: 0.000 0.500 0.000  0.02
Bi: 0.000 0.000 0.000  0.00
O: 0.000 0.000 0.500  0.64
Br: 0.500 0.500 0.500  0.73


*2*
An optimized crystal structure of BiBrOF2. Source: Alexandria via LeMat-Bulk, functional PBE-GGA.

Its volume is 18.950 Å³/atom. As for the space group: P4/mmm. As for the density of states at the Fermi level: 3.09 states/eV/f.u.

Cell: 5.112 5.112 3.625 Å, 90.00 90.00 90.00°
Atoms (fractional coordinates):
F: 0.500 0.000 0.000
F: 0.000 0.500 0.000
Br: 0.000 0.000 0.000
Bi: 0.500 0.500 0.500
O: 0.000 0.000 0.500


Structures ranked by computed energy, the most stable listed first: *1*, *2*.


*1*
An optimized crystal structure of Ga3BiBr. Source: Alexandria via LeMat-Bulk, functional PBE-GGA.

Its volume is 32.665 Å³/atom. As for the space group: Pm-3m. As for the density of states at the Fermi level: 3.13 states/eV/f.u.

Cell: 5.466 5.466 5.466 Å, 90.00 90.00 90.00°
Atoms (fractional coordinates):
Bi: 0.500 0.500 0.500
Ga: 0.500 0.000 0.000
Ga: 0.000 0.500 0.000
Ga: 0.000 0.000 0.500
Br: 0.000 0.000 0.000


*2*
An optimized crystal structure of Ga3BiBr. Source: Alexandria via LeMat-Bulk, functional PBE-GGA.

Its volume is 38.334 Å³/atom. As for the space group: Pm-3m. As for the density of states at the Fermi level: 4.75 states/eV/f.u.

Cell: 5.766 5.766 5.766 Å, 90.00 90.00 90.00°
Atoms (fractional coordinates):
Ga: 0.000 0.000 0.500
Ga: 0.500 0.000 0.000
Ga: 0.000 0.500 0.000
Bi: 0.000 0.000 0.000
Br: 0.500 0.500 0.500


Structures ranked by computed energy, the most stable listed first: *2*, *1*.


*1*
An optimized crystal structure of GaBiBr3. Source: Alexandria via LeMat-Bulk, functional PBE-GGA.

Its volume is 29.739 Å³/atom. As for the space group: Pm-3m. As for the density of states at the Fermi level: 4.11 states/eV/f.u.

Cell: 5.298 5.298 5.298 Å, 90.00 90.00 90.00°
Atoms (fractional coordinates):
Br: 0.000 0.500 0.000
Br: 0.500 0.000 0.000
Br: 0.000 0.000 0.500
Ga: 0.000 0.000 0.000
Bi: 0.500 0.500 0.500


*2*
An optimized crystal structure of GaBiBr3. Source: Alexandria via LeMat-Bulk, functional PBE-GGA.

Its volume is 40.640 Å³/atom. As for the space group: Pm-3m. As for the density of states at the Fermi level: 3.05 states/eV/f.u.

Cell: 5.879 5.879 5.879 Å, 90.00 90.00 90.00°
Atoms (fractional coordinates):
Br: 0.000 0.500 0.000
Br: 0.500 0.000 0.000
Br: 0.000 0.000 0.500
Ga: 0.500 0.500 0.500
Bi: 0.000 0.000 0.000


Structures ranked by computed energy, the most stable listed first: *2*, *1*.


*1*
An optimized crystal structure of GaBiBr2. Source: Alexandria via LeMat-Bulk, functional PBE-GGA.

Its volume is 31.167 Å³/atom. As for the space group: I-42d. As for the density of states at the Fermi level: 2.22 states/eV/f.u.

Cell: 8.458 8.458 6.922 Å, 52.34 52.34 90.00°
Atoms (fractional coordinates):
Ga: 0.500 0.500 0.000
Ga: 0.250 0.750 0.500
Bi: 0.000 0.000 0.000
Bi: 0.750 0.250 0.500
Br: 0.110 0.625 0.250
Br: 0.375 0.360 0.750
Br: 0.875 0.890 0.750
Br: 0.640 0.125 0.250


*2*
An optimized crystal structure of GaBiBr2. Source: Alexandria via LeMat-Bulk, functional PBE-GGA.

Its volume is 27.938 Å³/atom. As for the space group: Fm-3m. As for the density of states at the Fermi level: 3.44 states/eV/f.u.

Cell: 5.407 5.407 5.407 Å, 60.00 60.00 60.00°
Atoms (fractional coordinates):
Ga: 0.000 0.000 0.000
Bi: 0.500 0.500 0.500
Br: 0.250 0.250 0.250
Br: 0.750 0.750 0.750


Structures ranked by computed energy, the most stable listed first: *1*, *2*.